Record 1
Compound: YNb2W
Source: the Alexandria database
Functional: PBE-GGA
Structure: relaxed

Cell and atoms, written as CIF:
```
data_YNb2W
_chemical_formula_sum 'Y4 Nb8 W4'
_symmetry_space_group_name_H-M 'F m -3 m'
_symmetry_Int_Tables_number 225
_symmetry_space_group_name_Hall '-F 4 2 3'
_cell_length_a 6.770
_cell_length_b 6.770
_cell_length_c 6.770
_cell_angle_alpha 90.00
_cell_angle_beta 90.00
_cell_angle_gamma 90.00
loop_
_atom_site_label
_atom_site_type_symbol
_atom_site_fract_x
_atom_site_fract_y
_atom_site_fract_z
Y1 Y 0.000 0.000 0.000
Nb1 Nb 0.250 0.250 0.250
W1 W 0.000 0.000 0.500
```

Formation energy from the elements (eV/atom): 0.344

---

Record 2
Compound: BaNaCeCl6
Source: the Alexandria database
Functional: PBE-GGA
Structure: relaxed

Cell and atoms, written as CIF:
```
data_BaNaCeCl6
_chemical_formula_sum 'Ba2 Na2 Ce2 Cl12'
_symmetry_space_group_name_H-M 'P -3 1 c'
_symmetry_Int_Tables_number 163
_symmetry_space_group_name_Hall '-P 3 2c'
_cell_length_a 7.2258
_cell_length_b 7.2258
_cell_length_c 13.3864
_cell_angle_alpha 90.00
_cell_angle_beta 90.00
_cell_angle_gamma 120.00
loop_
_atom_site_label
_atom_site_type_symbol
_atom_site_fract_x
_atom_site_fract_y
_atom_site_fract_z
Ba1 Ba 0.0000 0.0000 0.0000
Na1 Na 0.3333 0.6667 0.2500
Ce1 Ce 0.3333 0.6667 0.7500
Cl1 Cl 0.0075 0.3574 0.6339
```

Calculated total energy (eV/atom): -4.467

---

Record 3
Compound: Tl2InAg
Source: the Alexandria database
Functional: PBE-GGA
Structure: relaxed

Cell and atoms, written as CIF:
```
data_Tl2InAg
_chemical_formula_sum 'Tl4 In2 Ag2'
_symmetry_space_group_name_H-M 'C 1 m 1'
_symmetry_Int_Tables_number 8
_cell_length_a 6.006
_cell_length_b 3.515
_cell_length_c 10.204
_cell_angle_alpha 90.00
_cell_angle_beta 100.44
_cell_angle_gamma 90.00
loop_
_symmetry_equiv_pos_as_xyz
'x,y,z'
'x,-y,z'
'x+1/2,y+1/2,z'
'x+1/2,-y+1/2,z'
loop_
_atom_site_label
_atom_site_type_symbol
_atom_site_fract_x
_atom_site_fract_y
_atom_site_fract_z
Tl1 Tl 0.000 0.000 0.000
Tl2 Tl 0.179 0.000 0.542
In1 In 0.258 0.500 0.271
Ag1 Ag 0.089 0.500 0.770
```

Formation energy from the elements (eV/atom): 0.103

---

Record 4
Compound: CuPd2S2
Source: the Alexandria database
Functional: PBE-GGA
Structure: relaxed

Cell and atoms, written as CIF:
```
data_CuPd2S2
_chemical_formula_sum 'Cu2 Pd4 S4'
_symmetry_space_group_name_H-M 'P 4/m b m'
_symmetry_Int_Tables_number 127
_symmetry_space_group_name_Hall '-P 4 2ab'
_cell_length_a 6.536
_cell_length_b 6.536
_cell_length_c 3.622
_cell_angle_alpha 90.00
_cell_angle_beta 90.00
_cell_angle_gamma 90.00
loop_
_atom_site_label
_atom_site_type_symbol
_atom_site_fract_x
_atom_site_fract_y
_atom_site_fract_z
Cu1 Cu 0.000 0.000 0.000
Pd1 Pd 0.153 0.347 0.500
S1 S 0.170 0.670 0.000
```

Calculated total energy (eV/atom): -4.530

---

Record 5
Compound: Ac3Ge4Ir4
Source: the Alexandria database
Functional: PBE-GGA
Structure: relaxed

Cell and atoms, written as CIF:
```
data_Ac3Ge4Ir4
_chemical_formula_sum 'Ac6 Ge8 Ir8'
_symmetry_space_group_name_H-M 'I m m m'
_symmetry_Int_Tables_number 71
_symmetry_space_group_name_Hall '-I 2 2'
_cell_length_a 4.409
_cell_length_b 4.498
_cell_length_c 24.980
_cell_angle_alpha 90.00
_cell_angle_beta 90.00
_cell_angle_gamma 90.00
loop_
_atom_site_label
_atom_site_type_symbol
_atom_site_fract_x
_atom_site_fract_y
_atom_site_fract_z
Ac1 Ac 0.000 0.000 0.000
Ac2 Ac 0.000 0.500 0.353
Ge1 Ge 0.000 0.000 0.249
Ge2 Ge 0.000 0.500 0.100
Ir1 Ir 0.000 0.000 0.448
Ir2 Ir 0.000 0.500 0.200
```

Formation energy from the elements (eV/atom): -0.720

---

Record 6
Compound: Ba12BiPd6
Source: the Alexandria database
Functional: PBE-GGA
Structure: relaxed

Cell and atoms, written as CIF:
```
data_Ba12BiPd6
_chemical_formula_sum 'Ba24 Bi2 Pd12'
_symmetry_space_group_name_H-M 'I m -3'
_symmetry_Int_Tables_number 204
_symmetry_space_group_name_Hall '-I 2 2 3'
_cell_length_a 11.525
_cell_length_b 11.525
_cell_length_c 11.525
_cell_angle_alpha 90.00
_cell_angle_beta 90.00
_cell_angle_gamma 90.00
loop_
_atom_site_label
_atom_site_type_symbol
_atom_site_fract_x
_atom_site_fract_y
_atom_site_fract_z
Ba1 Ba 0.000 0.309 0.181
Bi1 Bi 0.000 0.000 0.000
Pd1 Pd 0.000 0.120 0.500
```

Formation energy from the elements (eV/atom): -0.468

---

Record 7
Compound: TiNi2H
Source: the Alexandria database
Functional: PBE-GGA
Structure: relaxed

Cell and atoms, written as CIF:
```
data_TiNi2H
_chemical_formula_sum 'Ti4 Ni8 H4'
_symmetry_space_group_name_H-M 'I -4 2 d'
_symmetry_Int_Tables_number 122
_symmetry_space_group_name_Hall 'I -4 2bw'
_cell_length_a 5.007
_cell_length_b 5.007
_cell_length_c 6.844
_cell_angle_alpha 90.00
_cell_angle_beta 90.00
_cell_angle_gamma 90.00
loop_
_atom_site_label
_atom_site_type_symbol
_atom_site_fract_x
_atom_site_fract_y
_atom_site_fract_z
Ti1 Ti 0.000 0.000 0.000
Ni1 Ni 0.079 0.250 0.625
H1 H 0.000 0.000 0.500
```

Calculated total energy (eV/atom): -5.776

---

Record 8
Compound: GdPaGePd
Source: the Alexandria database
Functional: PBE-GGA
Structure: relaxed

Cell and atoms, written as CIF:
```
data_GdPaGePd
_chemical_formula_sum 'Gd4 Pa4 Ge4 Pd4'
_symmetry_space_group_name_H-M 'F -4 3 m'
_symmetry_Int_Tables_number 216
_symmetry_space_group_name_Hall 'F -4 2 3'
_cell_length_a 7.128
_cell_length_b 7.128
_cell_length_c 7.128
_cell_angle_alpha 90.00
_cell_angle_beta 90.00
_cell_angle_gamma 90.00
loop_
_atom_site_label
_atom_site_type_symbol
_atom_site_fract_x
_atom_site_fract_y
_atom_site_fract_z
Gd1 Gd 0.000 0.000 0.000
Pa1 Pa 0.000 0.000 0.500
Ge1 Ge 0.250 0.250 0.750
Pd1 Pd 0.250 0.250 0.250
```

Formation energy from the elements (eV/atom): -0.452

---

Record 9
Compound: SbBrNO2
Source: the Alexandria database
Functional: PBE-GGA
Structure: relaxed

Cell and atoms, written as CIF:
```
data_SbBrNO2
_chemical_formula_sum 'Sb1 Br1 N1 O2'
_symmetry_space_group_name_H-M 'P 4/m m m'
_symmetry_Int_Tables_number 123
_symmetry_space_group_name_Hall '-P 4 2'
_cell_length_a 3.984
_cell_length_b 3.984
_cell_length_c 4.304
_cell_angle_alpha 90.00
_cell_angle_beta 90.00
_cell_angle_gamma 90.00
loop_
_atom_site_label
_atom_site_type_symbol
_atom_site_fract_x
_atom_site_fract_y
_atom_site_fract_z
Sb1 Sb 0.000 0.000 0.000
Br1 Br 0.500 0.500 0.500
N1 N 0.500 0.500 0.000
O1 O 0.000 0.500 0.500
```

Calculated total energy (eV/atom): -3.837

---

Record 10
Compound: NbZnNiAu
Source: the Alexandria database
Functional: PBE-GGA
Structure: relaxed

Cell and atoms, written as CIF:
```
data_NbZnNiAu
_chemical_formula_sum 'Nb4 Zn4 Ni4 Au4'
_symmetry_space_group_name_H-M 'F -4 3 m'
_symmetry_Int_Tables_number 216
_symmetry_space_group_name_Hall 'F -4 2 3'
_cell_length_a 6.211
_cell_length_b 6.211
_cell_length_c 6.211
_cell_angle_alpha 90.00
_cell_angle_beta 90.00
_cell_angle_gamma 90.00
loop_
_atom_site_label
_atom_site_type_symbol
_atom_site_fract_x
_atom_site_fract_y
_atom_site_fract_z
Nb1 Nb 0.000 0.000 0.000
Zn1 Zn 0.250 0.250 0.750
Ni1 Ni 0.250 0.250 0.250
Au1 Au 0.000 0.000 0.500
```

Formation energy from the elements (eV/atom): -0.116

---

Record 11
Compound: PmTmS3
Source: the Alexandria database
Functional: PBE-GGA
Structure: relaxed

Cell and atoms, written as CIF:
```
data_PmTmS3
_chemical_formula_sum 'Pm6 Tm6 S18'
_symmetry_space_group_name_H-M 'R -3'
_symmetry_Int_Tables_number 148
_symmetry_space_group_name_Hall '-R 3'
_cell_length_a 6.9673
_cell_length_b 6.9673
_cell_length_c 18.5880
_cell_angle_alpha 90.00
_cell_angle_beta 90.00
_cell_angle_gamma 120.00
loop_
_atom_site_label
_atom_site_type_symbol
_atom_site_fract_x
_atom_site_fract_y
_atom_site_fract_z
Pm1 Pm 0.0000 0.0000 0.1443
Tm1 Tm 0.0000 0.0000 0.3475
S1 S 0.0156 0.7090 0.2512
```

Calculated total energy (eV/atom): -6.361

---

Record 12
Compound: TiIn2Au2
Source: the Alexandria database
Functional: PBE-GGA
Structure: relaxed

Cell and atoms, written as CIF:
```
data_TiIn2Au2
_chemical_formula_sum 'Ti2 In4 Au4'
_symmetry_space_group_name_H-M 'I 4/m m m'
_symmetry_Int_Tables_number 139
_symmetry_space_group_name_Hall '-I 4 2'
_cell_length_a 4.116
_cell_length_b 4.116
_cell_length_c 12.775
_cell_angle_alpha 90.00
_cell_angle_beta 90.00
_cell_angle_gamma 90.00
loop_
_atom_site_label
_atom_site_type_symbol
_atom_site_fract_x
_atom_site_fract_y
_atom_site_fract_z
Ti1 Ti 0.000 0.000 0.000
In1 In 0.000 0.500 0.250
Au1 Au 0.000 0.000 0.398
```

Formation energy from the elements (eV/atom): 0.122